8
Lattice="5.046 0.000 0.000 0.000 5.068 0.000 0.000 0.000 6.648" Properties=species:S:1:pos:R:3 comment="PBE-GGA Hf2NbTl, relaxed" delta_e_f_kj_per_mol_atoms=6.88 magmom_total_mub_per_fu=0.0 relative_energy_mev_per_atom=89.8 volume_a3_per_cell=170.0 pbc="T T T"
Hf 0.000 0.000 0.000
Hf 0.000 0.000 3.154
Hf 0.000 2.534 1.491
Hf 2.523 2.534 3.124
Nb 2.523 0.000 1.545
Nb 2.523 2.534 0.043
Tl 0.000 2.534 4.918
Tl 2.523 0.000 4.921

4
Lattice="1.987 1.147 9.463 -1.987 1.147 9.463 0.000 -2.294 9.463" Properties=species:S:1:pos:R:3 comment="PBE-GGA Pm2YAs, relaxed" delta_e_f_kj_per_mol_atoms=-58.36 magmom_total_mub_per_fu=1.1 relative_energy_mev_per_atom=0.0 volume_a3_per_cell=129.4 pbc="T T T"
Pm 0.000 0.000 0.000
Pm 0.000 0.000 5.915
Y 0.000 0.000 12.413
As 0.000 0.000 17.143

4
Lattice="2.711 0.000 0.000 0.000 4.342 0.000 0.000 0.000 5.794" Properties=species:S:1:pos:R:3 comment="PBE-GGA Li2TaAu, relaxed" delta_e_f_kj_per_mol_atoms=6.16 magmom_total_mub_per_fu=0.0 relative_energy_mev_per_atom=55.0 volume_a3_per_cell=68.2 pbc="T T T"
Li 0.000 0.000 0.000
Li 1.355 2.171 1.208
Ta 0.000 0.000 2.996
Au 1.355 2.171 4.189

8
Lattice="-3.341 3.341 4.137 3.341 -3.341 4.137 3.341 3.341 -4.137" Properties=species:S:1:pos:R:3 comment="PBE-GGA SnGeP2, relaxed" delta_e_f_kj_per_mol_atoms=15.70 magmom_total_mub_per_fu=0.0 relative_energy_mev_per_atom=115.3 volume_a3_per_cell=184.7 pbc="T T T"
Sn 0.000 0.000 0.000
Sn 0.000 3.341 2.069
Ge 3.341 0.000 2.069
Ge 0.000 0.000 4.137
P 1.670 2.032 -1.034
P 4.649 1.670 1.034
P 1.670 1.308 3.103
P -1.308 1.670 5.172